Record 1
Density functional theory data (PBE) for a relaxed Re3BTe crystal.

abc: 4.235 4.235 4.235
angles: 90.00 90.00 90.00
Atoms (fractional coordinates):
B1 0.000 0.000 0.000
Te1 0.500 0.500 0.500
Re1 0.000 0.500 0.000
Re2 0.000 0.000 0.500
Re3 0.500 0.000 0.000

Results
**DFT total energy**: -8.67 eV per atom
**Uncorrected formation energy**: 761 meV/atom
**Total moment**: 1.716 Bohr magnetons per cell

***

Record 2
Density functional theory data (PBE) for a relaxed MnRe2Ru crystal.

abc: 5.152 5.152 5.152
angles: 147.28 129.52 61.46
Atoms (fractional coordinates):
Re1 0.754 0.254 0.500
Mn1 0.247 0.747 0.500
Re2 0.019 0.019 0.000
Ru1 0.480 0.480 0.000

Results
**Formation energy from the elements**: 0.2091 eV per atom
**DFT total energy**: -10.63 eV per atom
**Total moment**: 2.239 Bohr magnetons per cell

***

Q: Which of these has the lowest DFT total energy?
A: MnRe2Ru